1.
Compound: CsV2I6
Source: Alexandria via LeMat-Bulk
Functional: PBE
Structure: optimized geometry

abc: 8.742 7.325 7.325
angles: 120.00 90.00 90.00
Each line ends with the local moment (μB).
Atoms (fractional coordinates):
1 I 0.682 0.627 0.627  -0.05
2 I 0.682 0.373 0.000  -0.05
3 V 0.500 0.333 0.667  2.32
4 I 0.318 0.627 0.000  -0.05
5 Cs 0.000 0.000 0.000  0.00
6 I 0.318 0.000 0.627  -0.05
7 I 0.682 0.000 0.373  -0.05
8 I 0.318 0.373 0.373  -0.05
9 V 0.500 0.667 0.333  2.32

Properties
Space-group type: P-31m, No. 162
Uncorrected energy in eV for the cell shown: -34.787

2.
Compound: Cs2YVI6
Source: Alexandria via LeMat-Bulk
Functional: PBE
Structure: optimized geometry

abc: 8.487 8.487 8.486
angles: 60.00 60.00 90.00
Each line ends with the local moment (μB).
Atoms (fractional coordinates):
1 Cs 0.250 0.750 0.500  0.00
2 I 0.254 0.254 0.000  0.00
3 I 0.254 0.254 0.491  0.00
4 I 0.254 0.746 0.000  0.00
5 Y 0.000 0.000 0.000  0.17
6 I 0.746 0.254 0.000  0.00
7 V 0.500 0.500 0.000  3.05
8 Cs 0.750 0.250 0.500  0.00
9 I 0.746 0.746 0.000  0.00
10 I 0.746 0.746 0.509  0.00

Properties
Space-group type: Fm-3m, No. 225
Uncorrected energy in eV for the cell shown: -37.331

3.
Compound: CsYVI6
Source: Alexandria via LeMat-Bulk
Functional: PBE
Structure: optimized geometry

abc: 7.626 7.626 8.824
angles: 90.00 90.00 60.00
Each line ends with the local moment (μB).
Atoms (fractional coordinates):
1 I 0.642 0.982 0.308  -0.01
2 Cs 0.000 0.000 0.000  0.00
3 I 0.642 0.376 0.692  -0.01
4 I 0.982 0.376 0.308  -0.01
5 Y 0.333 0.333 0.500  0.02
6 I 0.982 0.642 0.692  -0.01
7 I 0.376 0.982 0.692  -0.01
8 I 0.376 0.642 0.308  -0.01
9 V 0.667 0.667 0.500  2.60

Properties
Space-group type: P312, No. 149
Uncorrected energy in eV for the cell shown: -35.730

4.
Compound: Cs2WI6
Source: Alexandria via LeMat-Bulk
Functional: PBE
Structure: optimized geometry

abc: 8.325 8.325 8.325
angles: 60.00 60.00 60.00
Each line ends with the local moment (μB).
Atoms (fractional coordinates):
1 I 0.236 0.236 0.764  0.00
2 I 0.236 0.764 0.764  0.00
3 Cs 0.750 0.750 0.750  0.00
4 I 0.764 0.236 0.764  0.00
5 I 0.764 0.236 0.236  0.00
6 W 0.000 0.000 0.000  1.53
7 Cs 0.250 0.250 0.250  0.00
8 I 0.764 0.764 0.236  0.00
9 I 0.236 0.764 0.236  0.00

Properties
Space-group type: Fm-3m, No. 225
Uncorrected energy in eV for the cell shown: -30.565

5.
Compound: CsW3I
Source: Alexandria via LeMat-Bulk
Functional: PBE
Structure: optimized geometry

abc: 5.096 5.096 5.096
angles: 90.00 90.00 90.00
Atoms (fractional coordinates):
1 I 0.000 0.000 0.000
2 W 0.500 0.000 0.000
3 Cs 0.500 0.500 0.500
4 W 0.000 0.000 0.500
5 W 0.000 0.500 0.000

Properties
Space-group type: Pm-3m, No. 221
Uncorrected energy in eV for the cell shown: -25.945
ΔE to the lowest computed polymorph in eV/atom: 0.000

6.
Compound: CsWI2
Source: Alexandria via LeMat-Bulk
Functional: PBE
Structure: optimized geometry

abc: 5.580 5.580 5.580
angles: 60.00 60.00 60.00
Atoms (fractional coordinates):
1 W 0.500 0.500 0.500
2 I 0.750 0.750 0.750
3 Cs 0.000 0.000 0.000
4 I 0.250 0.250 0.250

Properties
Space-group type: Fm-3m, No. 225
Uncorrected energy in eV for the cell shown: -12.022
ΔE to the lowest computed polymorph in eV/atom: 0.783

7.
Compound: Cs3WI8
Source: Alexandria via LeMat-Bulk
Functional: PBE
Structure: optimized geometry

abc: 9.743 11.653 11.653
angles: 120.00 90.00 90.00
Each line ends with the local moment (μB).
Atoms (fractional coordinates):
1 Cs 0.697 0.150 0.300  0.00
2 I 0.008 0.464 0.536  -0.01
3 I 0.768 0.333 0.667  -0.03
4 I 0.947 0.000 0.000  0.00
5 I 0.508 0.928 0.464  -0.01
6 I 0.787 0.775 0.549  -0.02
7 I 0.508 0.536 0.464  -0.01
8 I 0.008 0.072 0.536  -0.01
9 Cs 0.697 0.700 0.850  0.00
10 I 0.508 0.536 0.072  -0.01
11 Cs 0.197 0.300 0.150  0.00
12 I 0.268 0.667 0.333  -0.03
13 Cs 0.197 0.850 0.700  0.00
14 I 0.787 0.775 0.225  -0.02
15 I 0.787 0.451 0.225  -0.02
16 I 0.287 0.225 0.451  -0.02
17 I 0.287 0.225 0.775  -0.02
18 W 0.083 0.333 0.667  0.90
19 Cs 0.197 0.850 0.150  0.00
20 I 0.447 0.000 0.000  0.00
21 I 0.008 0.464 0.928  -0.01
22 I 0.287 0.549 0.775  -0.02
23 Cs 0.697 0.150 0.850  0.00
24 W 0.583 0.667 0.333  0.90

Properties
Space-group type: P6_3mc, No. 186
Uncorrected energy in eV for the cell shown: -72.649

8.
Compound: CsWI2
Source: Alexandria via LeMat-Bulk
Functional: PBE
Structure: optimized geometry

abc: 8.777 8.777 7.445
angles: 53.88 53.88 90.00
Atoms (fractional coordinates):
1 I 0.002 0.625 0.250
2 I 0.375 0.252 0.750
3 Cs 0.250 0.750 0.500
4 W 0.750 0.250 0.500
5 Cs 0.500 0.500 0.000
6 I 0.875 0.998 0.750
7 W 0.000 0.000 0.000
8 I 0.748 0.125 0.250

Properties
Space-group type: I-42d, No. 122
Uncorrected energy in eV for the cell shown: -30.309
ΔE to the lowest computed polymorph in eV/atom: 0.000